A relaxed Zr2CoRe crystal. Source: the Alexandria database, functional GGA-PBE.

Computed properties:
Formation enthalpy at 0 K, meV per atom: -292
SG: P4/mmm, No. 123
M_tot, μB/f.u.: 0.0

Unit cell a=3.2704 b=3.2704 c=6.4284 alpha=90.00 beta=90.00 gamma=89.98
With the nearest neighbours (Å) after each atom.
Fractional positions:
Re: 0.5000 0.5000 0.7500  8 Zr 2.83
Co: 0.5000 0.5000 0.2500  8 Zr 2.80
Zr: 0.0000 0.0000 0.0037  4 Co 2.80, 4 Re 2.83
Zr: 0.0000 0.0000 0.4963  4 Co 2.80, 4 Re 2.83